Material: LiLu2Ir
Method: DFT, PBE-GGA
State: optimized geometry

Unit cell a=4.028 b=4.028 c=15.056 alpha=90.00 beta=90.00 gamma=120.00
Sites, in units of the cell vectors:
1 Li 0.333 0.667 0.250
2 Li 0.667 0.333 0.750
3 Lu 0.333 0.667 0.591
4 Lu 0.333 0.667 0.909
5 Lu 0.667 0.333 0.091
6 Lu 0.667 0.333 0.409
7 Ir 0.000 0.000 0.000
8 Ir 0.000 0.000 0.500

***

Material: RbHg4AsP2
Method: DFT, PBE-GGA
State: optimized geometry

Unit cell a=13.305 b=13.305 c=13.305 alpha=19.23 beta=19.23 gamma=19.23
Sites, in units of the cell vectors:
1 Rb 0.000 0.000 0.000
2 Hg 0.200 0.200 0.200
3 Hg 0.402 0.402 0.402
4 Hg 0.598 0.598 0.598
5 Hg 0.800 0.800 0.800
6 As 0.500 0.500 0.500
7 P 0.268 0.268 0.268
8 P 0.732 0.732 0.732

***

Material: Pd3N
Method: DFT, PBE-GGA
State: optimized geometry

Unit cell a=4.075 b=4.075 c=4.075 alpha=90.00 beta=90.00 gamma=90.00
Sites, in units of the cell vectors:
1 Pd 0.000 0.000 0.500
2 Pd 0.000 0.500 0.000
3 Pd 0.500 0.000 0.000
4 N 0.000 0.000 0.000

***

It is found that the E values, taken in the order of the records, are -42.7, -17.5, -22.0 eV for the cell shown.